Entry 1:
A relaxed LaTl2Se crystal, computed with PBEsol.

Cell lengths 10.6935, 3.9672, 5.5284 Å; angles 90.00, 107.84, 90.00 degrees
Space group Cm (No. 8)
Asymmetric unit:
La  0.0000  0.0000  0.0000 [2 per cell]
Tl  0.2124  0.0000  0.5981 [2 per cell]
Tl  0.4576  0.0000  0.4488 [2 per cell]
Se  0.2197  0.5000  0.0182 [2 per cell]

DOS(E_F)   2.3 states/eV/f.u.
E_form (uncorrected)   -0.678 eV/atom

***

Entry 2:
A relaxed LaTlSe2 crystal, computed with PBEsol.

Cell lengths 7.3533, 7.3533, 7.3533 Å; angles 90.00, 90.00, 90.00 degrees
Space group F-43m (No. 216)
Asymmetric unit:
La  0.0000  0.0000  0.0000 [4 per cell]
Tl  0.2500  0.2500  0.2500 [4 per cell]
Se  0.0000  0.0000  0.5000 [4 per cell]
Se  0.2500  0.2500  0.7500 [4 per cell]

DOS(E_F)   0.8 states/eV/f.u.
E_form (uncorrected)   -0.738 eV/atom

***

Entry 3:
A relaxed La4TlSe crystal, computed with PBEsol.

Cell lengths 8.8838, 8.8838, 8.8838 Å; angles 90.00, 90.00, 90.00 degrees
Space group F-43m (No. 216)
Asymmetric unit:
La  0.1241  0.1241  0.1241 [16 per cell]
Tl  0.2500  0.2500  0.7500 [4 per cell]
Se  0.0000  0.0000  0.5000 [4 per cell]

DOS(E_F)   6.0 states/eV/f.u.
E_form (uncorrected)   -0.071 eV/atom

***

Entry 4:
A relaxed La2TlSe crystal, computed with PBEsol.

Cell lengths 4.2085, 4.2085, 23.8310 Å; angles 90.00, 90.00, 120.00 degrees
Space group R-3m (No. 166, hexagonal axes)
Asymmetric unit:
La  0.0000  0.0000  0.2410 [6 per cell]
Tl  0.0000  0.0000  0.0000 [3 per cell]
Se  0.0000  0.0000  0.5000 [3 per cell]

Relative energy among the computed polymorphs   0 meV per atom
DOS(E_F)   2.7 states/eV/f.u.
E_form (uncorrected)   -1.160 eV/atom

***

Entry 5:
A relaxed LaTl2Se crystal, computed with PBEsol.

Cell lengths 4.7566, 4.7566, 9.2238 Å; angles 90.00, 90.00, 90.00 degrees
Space group I-4m2 (No. 119)
Asymmetric unit:
La  0.0000  0.0000  0.0000 [2 per cell]
Tl  0.0000  0.0000  0.5000 [2 per cell]
Tl  0.0000  0.5000  0.2500 [2 per cell]
Se  0.0000  0.5000  0.7500 [2 per cell]

DOS(E_F)   2.2 states/eV/f.u.
E_form (uncorrected)   -0.677 eV/atom

***

Entry 6:
A relaxed La2TlSe crystal, computed with PBEsol.

Cell lengths 4.4618, 4.4618, 11.0680 Å; angles 90.00, 90.00, 90.00 degrees
Space group I-4m2 (No. 119)
Asymmetric unit:
La  0.0000  0.0000  0.0000 [2 per cell]
La  0.0000  0.5000  0.2500 [2 per cell]
Tl  0.0000  0.5000  0.7500 [2 per cell]
Se  0.0000  0.0000  0.5000 [2 per cell]

Relative energy among the computed polymorphs   325 meV per atom
DOS(E_F)   3.3 states/eV/f.u.
E_form (uncorrected)   -0.835 eV/atom

***

Entry 7:
A relaxed LaW2Se crystal, computed with PBEsol.

Cell lengths 3.2807, 3.2807, 7.2549 Å; angles 90.00, 90.00, 90.00 degrees
Space group P4mm (No. 99)
Asymmetric unit:
La  0.0000  0.0000  0.0000 [1 per cell]
W  0.0000  0.0000  0.5190 [1 per cell]
W  0.5000  0.5000  0.7037 [1 per cell]
Se  0.5000  0.5000  0.3095 [1 per cell]

Relative energy among the computed polymorphs   0 meV per atom
DOS(E_F)   4.4 states/eV/f.u.
E_form (uncorrected)   0.046 eV/atom

***

Entry 8:
A relaxed LaWSe2 crystal, computed with PBEsol.

Cell lengths 4.8019, 4.8019, 3.4121 Å; angles 90.00, 90.00, 90.00 degrees
Space group P4/mmm (No. 123)
Asymmetric unit:
La  0.0000  0.0000  0.0000 [1 per cell]
W  0.5000  0.5000  0.0000 [1 per cell]
Se  0.0000  0.5000  0.5000 [2 per cell]

Relative energy among the computed polymorphs   62 meV per atom
DOS(E_F)   3.3 states/eV/f.u.
E_form (uncorrected)   -0.407 eV/atom

***

Entry 9:
A relaxed LaW2Se crystal, computed with PBEsol.

Cell lengths 3.5031, 3.5031, 6.5287 Å; angles 90.00, 90.00, 90.00 degrees
Space group P4/mmm (No. 123)
Asymmetric unit:
La  0.0000  0.0000  0.0000 [1 per cell]
W  0.5000  0.5000  0.3140 [2 per cell]
Se  0.0000  0.0000  0.5000 [1 per cell]

Relative energy among the computed polymorphs   751 meV per atom
DOS(E_F)   4.0 states/eV/f.u.
E_form (uncorrected)   0.797 eV/atom

***

Entry 10:
A relaxed LaW2Se crystal, computed with PBEsol.

Cell lengths 5.5864, 10.5051, 3.3777 Å; angles 90.00, 126.66, 90.00 degrees
Space group C2/m (No. 12)
Asymmetric unit:
La  0.0000  0.0000  0.0000 [2 per cell]
W  0.2500  0.2500  0.5000 [4 per cell]
Se  0.0000  0.5000  0.0000 [2 per cell]

Relative energy among the computed polymorphs   413 meV per atom
DOS(E_F)   4.0 states/eV/f.u.
E_form (uncorrected)   0.459 eV/atom

***

Entry 11:
A relaxed LaWSe2 crystal, computed with PBEsol.

Cell lengths 3.3618, 3.9914, 6.3897 Å; angles 90.00, 90.13, 90.00 degrees
Space group P2/m (No. 10)
Asymmetric unit:
La  0.0000  0.0000  0.0000 [1 per cell]
W  0.5000  0.0000  0.5000 [1 per cell]
Se  0.4983  0.5000  0.7396 [2 per cell]

Relative energy among the computed polymorphs   0 meV per atom
DOS(E_F)   4.2 states/eV/f.u.
E_form (uncorrected)   -0.469 eV/atom

***

Entry 12:
A relaxed LaY2Se crystal, computed with PBEsol.

Cell lengths 4.1461, 5.8705, 9.6308 Å; angles 90.00, 90.00, 90.00 degrees
Space group Cmm2 (No. 35)
Asymmetric unit:
La  0.0000  0.0000  0.0000 [2 per cell]
Y  0.0000  0.0000  0.5813 [2 per cell]
Y  0.0000  0.5000  0.2962 [2 per cell]
Se  0.0000  0.5000  0.7774 [2 per cell]

DOS(E_F)   4.8 states/eV/f.u.
E_form (uncorrected)   -0.702 eV/atom

***

Entry 13:
A relaxed LaYSe2 crystal, computed with PBEsol.

Cell lengths 4.0887, 4.0887, 20.7267 Å; angles 90.00, 90.00, 120.00 degrees
Space group R-3m (No. 166, hexagonal axes)
Asymmetric unit:
La  0.0000  0.0000  0.0000 [3 per cell]
Y  0.0000  0.0000  0.5000 [3 per cell]
Se  0.0000  0.0000  0.2438 [6 per cell]

Relative energy among the computed polymorphs   0 meV per atom
DOS(E_F)   2.1 states/eV/f.u.
E_form (uncorrected)   -1.949 eV/atom

***

Entry 14:
A relaxed LaYSe2 crystal, computed with PBEsol.

Cell lengths 4.1479, 4.1479, 5.8702 Å; angles 90.00, 90.00, 90.00 degrees
Space group P4/mmm (No. 123)
Asymmetric unit:
La  0.0000  0.0000  0.0000 [1 per cell]
Y  0.5000  0.5000  0.5000 [1 per cell]
Se  0.0000  0.0000  0.5000 [1 per cell]
Se  0.5000  0.5000  0.0000 [1 per cell]

Relative energy among the computed polymorphs   45 meV per atom
DOS(E_F)   2.3 states/eV/f.u.
E_form (uncorrected)   -1.904 eV/atom

***

Entry 15:
A relaxed LaYSe2 crystal, computed with PBEsol.

Cell lengths 4.0784, 4.0784, 12.7946 Å; angles 90.00, 90.00, 90.00 degrees
Space group I-4m2 (No. 119)
Asymmetric unit:
La  0.0000  0.0000  0.0000 [2 per cell]
Y  0.0000  0.5000  0.2500 [2 per cell]
Se  0.0000  0.0000  0.5000 [2 per cell]
Se  0.0000  0.5000  0.7500 [2 per cell]

Relative energy among the computed polymorphs   495 meV per atom
DOS(E_F)   2.9 states/eV/f.u.
E_form (uncorrected)   -1.454 eV/atom